Entry 1
The following is a PBE calculation of a geometry-optimized SmDy2Rh2 structure, from Alexandria.

Lattice parameters (Å, degrees): 13.319 13.319 4.673 90.00 90.00 163.47
Element x y z (fractional)
Sm1 0.137 0.863 0.750
Sm2 0.863 0.137 0.250
Dy1 0.235 0.765 0.250
Dy2 0.449 0.551 0.750
Dy3 0.551 0.449 0.250
Dy4 0.765 0.235 0.750
Rh1 0.032 0.968 0.750
Rh2 0.338 0.662 0.750
Rh3 0.662 0.338 0.250
Rh4 0.968 0.032 0.250

Output
The calculation puts the density of states at the Fermi level at 3.678 states/eV/f.u. The symmetry is Cmcm, No. 63. The value obtained for the magnetization is 0.0 μB/f.u.

---

Entry 2
The following is a PBE calculation of a geometry-optimized SmDy2Rh2 structure, from Alexandria.

Lattice parameters (Å, degrees): 8.716 8.716 7.460 90.00 90.00 154.30
Element x y z (fractional)
Sm1 0.125 0.875 0.500
Sm2 0.875 0.125 0.000
Dy1 0.314 0.686 0.612
Dy2 0.469 0.531 0.333
Dy3 0.531 0.469 0.833
Dy4 0.686 0.314 0.112
Rh1 0.052 0.948 0.132
Rh2 0.303 0.697 0.224
Rh3 0.697 0.303 0.724
Rh4 0.948 0.052 0.632

Output
The calculation puts the density of states at the Fermi level at 3.389 states/eV/f.u. The symmetry is Cmc2_1, No. 36. The value obtained for the magnetization is 0.0 μB/f.u.

---

Relative energy table, unit meV/atom: entry 1 0; entry 2 12

---

Entry 1
The following is a PBE calculation of a geometry-optimized Dy3SnRh3 structure, from Alexandria.

Lattice parameters (Å, degrees): 8.469 8.469 4.844 90.00 90.00 120.00
Element x y z (fractional)
Dy1 0.089 0.411 0.250
Dy2 0.322 0.911 0.250
Dy3 0.411 0.322 0.750
Dy4 0.589 0.678 0.250
Dy5 0.678 0.089 0.750
Dy6 0.911 0.589 0.750
Sn1 0.333 0.667 0.750
Sn2 0.667 0.333 0.250
Rh1 0.047 0.213 0.750
Rh2 0.167 0.953 0.750
Rh3 0.213 0.167 0.250
Rh4 0.787 0.833 0.750
Rh5 0.833 0.047 0.250
Rh6 0.953 0.787 0.250

Output
The calculation puts the density of states at the Fermi level at 4.343 states/eV/f.u. The symmetry is P6_3/m, No. 176. The value obtained for the magnetization is 0.0 μB/f.u.

---

Entry 2
The following is a PBE calculation of a geometry-optimized Dy3SnRh3 structure, from Alexandria.

Lattice parameters (Å, degrees): 5.613 5.613 13.246 90.00 90.00 133.96
Element x y z (fractional)
Dy1 0.022 0.978 0.750
Dy2 0.300 0.700 0.606
Dy3 0.300 0.700 0.894
Dy4 0.700 0.300 0.106
Dy5 0.700 0.300 0.394
Dy6 0.978 0.022 0.250
Sn1 0.000 0.000 0.000
Sn2 0.000 0.000 0.500
Rh1 0.246 0.754 0.250
Rh2 0.407 0.593 0.094
Rh3 0.407 0.593 0.406
Rh4 0.593 0.407 0.594
Rh5 0.593 0.407 0.906
Rh6 0.754 0.246 0.750

Output
The calculation puts the density of states at the Fermi level at 5.100 states/eV/f.u. The symmetry is Cmcm, No. 63. The value obtained for the magnetization is 0.0 μB/f.u.

---

Relative energy table, unit meV/atom: entry 1 178; entry 2 0

---

Entry 1
The following is a PBE calculation of a geometry-optimized SrDyRh2 structure, from Alexandria.

Lattice parameters (Å, degrees): 3.479 3.479 7.222 90.00 90.00 90.00
Element x y z (fractional)
Sr1 0.000 0.000 0.000
Dy1 0.000 0.000 0.500
Rh1 0.500 0.500 0.284
Rh2 0.500 0.500 0.716

Output
The calculation puts the density of states at the Fermi level at 0.671 states/eV/f.u. The symmetry is P4/mmm, No. 123. The value obtained for the magnetization is 0.0 μB/f.u.

---

Entry 2
The following is a PBE calculation of a geometry-optimized SrDyRh2 structure, from Alexandria.

Lattice parameters (Å, degrees): 4.953 4.953 4.953 60.00 60.00 60.00
Element x y z (fractional)
Sr1 0.000 0.000 0.000
Dy1 0.500 0.500 0.500
Rh1 0.250 0.250 0.250
Rh2 0.750 0.750 0.750

Output
The calculation puts the density of states at the Fermi level at 1.459 states/eV/f.u. The symmetry is Fm-3m, No. 225. The value obtained for the magnetization is 0.0 μB/f.u.

---

Relative energy table, unit meV/atom: entry 1 0; entry 2 99

---

Entry 1
The following is a PBE calculation of a geometry-optimized Tb3DyRh2 structure, from Alexandria.

Lattice parameters (Å, degrees): 4.741 8.702 7.156 90.00 90.00 90.00
Element x y z (fractional)
Tb1 0.000 0.085 0.000
Tb2 0.000 0.334 0.370
Tb3 0.000 0.666 0.870
Tb4 0.000 0.915 0.500
Tb5 0.500 0.167 0.652
Tb6 0.500 0.833 0.152
Dy1 0.500 0.415 0.023
Dy2 0.500 0.585 0.523
Rh1 0.000 0.338 0.769
Rh2 0.000 0.662 0.269
Rh3 0.500 0.163 0.253
Rh4 0.500 0.837 0.753

Output
The calculation puts the density of states at the Fermi level at 5.856 states/eV/f.u. The symmetry is Pmc2_1, No. 26. The value obtained for the magnetization is 0.0 μB/f.u.

---

Entry 2
The following is a PBE calculation of a geometry-optimized Tb3DyRh2 structure, from Alexandria.

Lattice parameters (Å, degrees): 8.367 8.367 8.367 132.59 71.53 129.80
Element x y z (fractional)
Tb1 0.018 0.750 0.268
Tb2 0.250 0.250 0.000
Tb3 0.482 0.750 0.732
Tb4 0.518 0.250 0.268
Tb5 0.750 0.750 0.000
Tb6 0.982 0.250 0.732
Dy1 0.000 0.500 0.500
Dy2 0.500 0.000 0.500
Rh1 0.138 0.212 0.350
Rh2 0.362 0.712 0.074
Rh3 0.638 0.288 0.926
Rh4 0.862 0.788 0.650

Output
The calculation puts the density of states at the Fermi level at 5.093 states/eV/f.u. The symmetry is Ibam, No. 72. The value obtained for the magnetization is 0.0 μB/f.u.

---

Relative energy table, unit meV/atom: entry 1 0; entry 2 84

---

Entry 1
The following is a PBE calculation of a geometry-optimized Tb2DyRh structure, from Alexandria.

Lattice parameters (Å, degrees): 3.515 3.515 8.595 90.00 90.00 90.00
Element x y z (fractional)
Tb1 0.000 0.000 0.190
Tb2 0.000 0.000 0.810
Dy1 0.500 0.500 0.500
Rh1 0.500 0.500 0.000

Output
The calculation puts the density of states at the Fermi level at 5.184 states/eV/f.u. The symmetry is P4/mmm, No. 123. The value obtained for the magnetization is 0.0 μB/f.u.

---

Entry 2
The following is a PBE calculation of a geometry-optimized Tb2DyRh structure, from Alexandria.

Lattice parameters (Å, degrees): 10.735 10.735 10.735 19.48 19.48 19.48
Element x y z (fractional)
Tb1 0.110 0.110 0.110
Tb2 0.890 0.890 0.890
Dy1 0.000 0.000 0.000
Rh1 0.500 0.500 0.500

Output
The calculation puts the density of states at the Fermi level at 5.359 states/eV/f.u. The symmetry is R-3m, No. 166. The value obtained for the magnetization is 0.5 μB/f.u.

---

Relative energy table, unit meV/atom: entry 1 0; entry 2 247

---

Entry 1
The following is a PBE calculation of a geometry-optimized Tb2DyRh structure, from Alexandria.

Lattice parameters (Å, degrees): 6.224 6.224 9.501 90.00 90.00 144.28
Element x y z (fractional)
Tb1 0.138 0.862 0.567
Tb2 0.138 0.862 0.933
Tb3 0.862 0.138 0.067
Tb4 0.862 0.138 0.433
Dy1 0.422 0.578 0.750
Dy2 0.578 0.422 0.250
Rh1 0.258 0.742 0.250
Rh2 0.742 0.258 0.750

Output
The calculation puts the density of states at the Fermi level at 4.880 states/eV/f.u. The symmetry is Cmcm, No. 63. The value obtained for the magnetization is 0.0 μB/f.u.

---

Entry 2
The following is a PBE calculation of a geometry-optimized Tb2DyRh structure, from Alexandria.

Lattice parameters (Å, degrees): 7.173 9.556 6.295 90.00 90.00 90.00
Element x y z (fractional)
Tb1 0.178 0.064 0.171
Tb2 0.178 0.436 0.171
Tb3 0.322 0.564 0.671
Tb4 0.322 0.936 0.671
Tb5 0.678 0.064 0.329
Tb6 0.678 0.436 0.329
Tb7 0.822 0.564 0.829
Tb8 0.822 0.936 0.829
Dy1 0.035 0.250 0.639
Dy2 0.465 0.750 0.139
Dy3 0.535 0.250 0.861
Dy4 0.965 0.750 0.361
Rh1 0.118 0.750 0.943
Rh2 0.382 0.250 0.443
Rh3 0.618 0.750 0.557
Rh4 0.882 0.250 0.057

Output
The calculation puts the density of states at the Fermi level at 4.563 states/eV/f.u. The symmetry is Pnma, No. 62. The value obtained for the magnetization is 0.0 μB/f.u.

---

Relative energy table, unit meV/atom: entry 1 33; entry 2 0